# 1
DFT (GGA-PBE) results for crystalline Mg2Sc2Zn15 at its relaxed geometry.

Properties
- Total DFT energy (no corrections): -0.074 Ha/atom
- SG: R-3m (166)
- E_form: -0.162 eV per atom

Lattice parameters (Å, degrees): 6.7902 6.7902 6.7902 82.69 82.69 82.69
Positions (direct):
Mg1 0.1067 0.1067 0.1067
Mg2 0.8933 0.8933 0.8933
Sc1 0.3454 0.3454 0.3454
Sc2 0.6546 0.6546 0.6546
Zn1 0.0000 0.0000 0.5000
Zn2 0.0000 0.3024 0.6976
Zn3 0.0000 0.5000 0.0000
Zn4 0.0000 0.6976 0.3024
Zn5 0.1644 0.6431 0.6431
Zn6 0.3024 0.0000 0.6976
Zn7 0.3024 0.6976 0.0000
Zn8 0.3569 0.3569 0.8356
Zn9 0.3569 0.8356 0.3569
Zn10 0.5000 0.0000 0.0000
Zn11 0.6431 0.1644 0.6431
Zn12 0.6431 0.6431 0.1644
Zn13 0.6976 0.0000 0.3024
Zn14 0.6976 0.3024 0.0000
Zn15 0.8356 0.3569 0.3569

***

# 2
DFT (GGA-PBE) results for crystalline MnBeRh2Br at its relaxed geometry.

Properties
- Formation energy (no corrections): 1.07 eV per atom
- Total DFT energy (no corrections): -0.176 Ha/atom
- SG: P4/mmm (123)

Lattice parameters (Å, degrees): 4.6941 4.6941 4.0173 90.00 90.00 90.00
Positions (direct):
Mn1 0.0000 0.0000 0.0000
Be1 0.5000 0.5000 0.0000
Rh1 0.0000 0.5000 0.5000
Rh2 0.5000 0.0000 0.5000
Br1 0.5000 0.5000 0.5000

***

# 3
DFT (GGA-PBE) results for crystalline BaCaC3 at its relaxed geometry.

Properties
- Energy above the most stable polymorph in this dataset: 0.0 meV/atom
- Total DFT energy (no corrections): -0.150 Ha/atom
- SG: Pm-3m (221)
- E_form: 2.247 eV per atom

Lattice parameters (Å, degrees): 4.6454 4.6454 4.6454 90.00 90.00 90.00
Positions (direct):
Ba1 0.0000 0.0000 0.0000
Ca1 0.5000 0.5000 0.5000
C1 0.0000 0.5000 0.5000
C2 0.5000 0.0000 0.5000
C3 0.5000 0.5000 0.0000